# 1
First-principles (GGA-PBEsol) data for crystalline BaGaRu2Br at its relaxed geometry, as listed in Alexandria via LeMat-Bulk.

- raw formation energy (meV/atom) = 665.7
- total energy (eV per cell) = -24.38

a b c (Å): 4.610 4.610 6.288
angles (deg): 90.00 90.00 90.00
Fractional positions:
Ba (0.000, 0.000, 0.000)
Ga (0.000, 0.000, 0.500)
Ru (0.000, 0.500, 0.500)
Ru (0.500, 0.000, 0.500)
Br (0.500, 0.500, 0.000)

=====

# 2
First-principles (GGA-PBEsol) data for crystalline Ba3GaS4Br at its relaxed geometry, as listed in Alexandria via LeMat-Bulk.

- raw formation energy (meV/atom) = -1819.2
- total energy (eV per cell) = -182.26

a b c (Å): 12.315 9.606 8.407
angles (deg): 90.00 90.00 90.00
Fractional positions:
Ba (0.024, 0.250, 0.083)
Ba (0.164, 0.020, 0.586)
Ba (0.164, 0.480, 0.586)
Ba (0.336, 0.520, 0.086)
Ba (0.336, 0.980, 0.086)
Ba (0.476, 0.750, 0.583)
Ba (0.524, 0.250, 0.417)
Ba (0.664, 0.020, 0.914)
Ba (0.664, 0.480, 0.914)
Ba (0.836, 0.520, 0.414)
Ba (0.836, 0.980, 0.414)
Ba (0.976, 0.750, 0.917)
Ga (0.106, 0.750, 0.310)
Ga (0.394, 0.250, 0.810)
Ga (0.606, 0.750, 0.190)
Ga (0.894, 0.250, 0.690)
S (0.007, 0.750, 0.537)
S (0.072, 0.548, 0.188)
S (0.072, 0.952, 0.188)
S (0.213, 0.250, 0.858)
S (0.287, 0.750, 0.358)
S (0.428, 0.048, 0.688)
S (0.428, 0.452, 0.688)
S (0.493, 0.250, 0.037)
S (0.507, 0.750, 0.963)
S (0.572, 0.548, 0.312)
S (0.572, 0.952, 0.312)
S (0.713, 0.250, 0.642)
S (0.787, 0.750, 0.142)
S (0.928, 0.048, 0.812)
S (0.928, 0.452, 0.812)
S (0.993, 0.250, 0.463)
Br (0.234, 0.750, 0.828)
Br (0.266, 0.250, 0.328)
Br (0.734, 0.750, 0.672)
Br (0.766, 0.250, 0.172)